No. 1
Compound: K2AlHg
Source: the Alexandria database
Functional: PBE
Structure: optimized geometry

The structure in CIF format:
```
data_K2AlHg
_space_group_name_H-M_alt 'A m m 2'
_space_group_IT_number 38
_cell_length_a 4.781
_cell_length_b 5.608
_cell_length_c 11.973
_cell_angle_alpha 90.00
_cell_angle_beta 90.00
_cell_angle_gamma 90.00
loop_
_space_group_symop_operation_xyz
'x,y,z'
'-x,-y,z'
'-x,y,z'
'x,-y,z'
'x,y+1/2,z+1/2'
'-x,-y+1/2,z+1/2'
'-x,y+1/2,z+1/2'
'x,-y+1/2,z+1/2'
loop_
_atom_site_label
_atom_site_type_symbol
_atom_site_fract_x
_atom_site_fract_y
_atom_site_fract_z
K1 K 0.000 0.000 0.000
K2 K 0.500 0.000 0.302
Al1 Al 0.000 0.000 0.692
Hg1 Hg 0.500 0.000 0.607
```

Summary:
Fermi-level density of states   1.84 states/eV/f.u.
Crystal system   orthorhombic
Distance to the lowest polymorph of the same formula   0.000 eV per atom
ΔE_f   0.01 eV per atom



No. 2
Compound: Sr6AlTl2
Source: the Alexandria database
Functional: PBE
Structure: optimized geometry

The structure in CIF format:
```
data_Sr6AlTl2
_space_group_name_H-M_alt 'F m m m'
_space_group_IT_number 69
_space_group_name_Hall '-F 2 2'
_cell_length_a 5.786
_cell_length_b 14.378
_cell_length_c 17.417
_cell_angle_alpha 90.00
_cell_angle_beta 90.00
_cell_angle_gamma 90.00
loop_
_atom_site_label
_atom_site_type_symbol
_atom_site_fract_x
_atom_site_fract_y
_atom_site_fract_z
Sr1 Sr 0.000 0.134 0.000
Sr2 Sr 0.000 0.136 0.336
Al1 Al 0.000 0.000 0.500
Tl1 Tl 0.000 0.000 0.167
```

Summary:
Fermi-level density of states   6.77 states/eV/f.u.
Crystal system   orthorhombic
ΔE_f   -0.23 eV per atom



No. 3
Compound: AlTl2Bi2
Source: the Alexandria database
Functional: PBE
Structure: optimized geometry

The structure in CIF format:
```
data_AlTl2Bi2
_space_group_name_H-M_alt 'P 4/m b m'
_space_group_IT_number 127
_space_group_name_Hall '-P 4 2ab'
_cell_length_a 7.493
_cell_length_b 7.493
_cell_length_c 5.938
_cell_angle_alpha 90.00
_cell_angle_beta 90.00
_cell_angle_gamma 90.00
loop_
_atom_site_label
_atom_site_type_symbol
_atom_site_fract_x
_atom_site_fract_y
_atom_site_fract_z
Al1 Al 0.000 0.000 0.000
Tl1 Tl 0.172 0.328 0.500
Bi1 Bi 0.148 0.648 0.000
```

Summary:
Fermi-level density of states   2.21 states/eV/f.u.
Crystal system   tetragonal
Distance to the lowest polymorph of the same formula   0.000 eV per atom
ΔE_f   0.13 eV per atom



No. 4
Compound: Er4Sb2PbSe
Source: the Alexandria database
Functional: PBE
Structure: optimized geometry

The structure in CIF format:
```
data_Er4Sb2PbSe
_space_group_name_H-M_alt 'P 1 2/m 1'
_space_group_IT_number 10
_cell_length_a 7.458
_cell_length_b 4.282
_cell_length_c 7.471
_cell_angle_alpha 90.00
_cell_angle_beta 109.25
_cell_angle_gamma 90.00
loop_
_space_group_symop_operation_xyz
'x,y,z'
'-x,-y,-z'
'-x,y,-z'
'x,-y,z'
loop_
_atom_site_label
_atom_site_type_symbol
_atom_site_fract_x
_atom_site_fract_y
_atom_site_fract_z
Er1 Er 0.246 0.000 0.248
Er2 Er 0.248 0.500 0.754
Sb1 Sb 0.500 0.000 0.000
Sb2 Sb 0.500 0.500 0.500
Pb1 Pb 0.000 0.000 0.500
Se1 Se 0.000 0.500 0.000
```

Summary:
Fermi-level density of states   1.76 states/eV/f.u.
Crystal system   monoclinic
Energy relative to the elements, uncorrected   -1077 meV/atom



No. 5
Compound: Pm8Ge2N3
Source: the Alexandria database
Functional: PBE
Structure: optimized geometry

The structure in CIF format:
```
data_Pm8Ge2N3
_space_group_name_H-M_alt 'C 1 2/m 1'
_space_group_IT_number 12
_cell_length_a 14.262
_cell_length_b 7.325
_cell_length_c 6.532
_cell_angle_alpha 90.00
_cell_angle_beta 106.79
_cell_angle_gamma 90.00
loop_
_space_group_symop_operation_xyz
'x,y,z'
'-x,-y,-z'
'-x,y,-z'
'x,-y,z'
'x+1/2,y+1/2,z'
'-x+1/2,-y+1/2,-z'
'-x+1/2,y+1/2,-z'
'x+1/2,-y+1/2,z'
loop_
_atom_site_label
_atom_site_type_symbol
_atom_site_fract_x
_atom_site_fract_y
_atom_site_fract_z
Pm1 Pm 0.099 0.238 0.390
Pm2 Pm 0.100 0.000 0.901
Pm3 Pm 0.107 0.500 0.940
Ge1 Ge 0.243 0.500 0.676
N1 N 0.000 0.000 0.500
N2 N 0.000 0.244 0.000
```

Summary:
Fermi-level density of states   9.55 states/eV/f.u.
Crystal system   monoclinic
Energy relative to the elements, uncorrected   -828 meV/atom



No. 6
Compound: Y2FePtI
Source: the Alexandria database
Functional: PBE
Structure: optimized geometry

The structure in CIF format:
```
data_Y2FePtI
_space_group_name_H-M_alt 'P 4/m m m'
_space_group_IT_number 123
_space_group_name_Hall '-P 4 2'
_cell_length_a 5.161
_cell_length_b 5.161
_cell_length_c 4.603
_cell_angle_alpha 90.00
_cell_angle_beta 90.00
_cell_angle_gamma 90.00
loop_
_atom_site_label
_atom_site_type_symbol
_atom_site_fract_x
_atom_site_fract_y
_atom_site_fract_z
Y1 Y 0.000 0.500 0.000
Fe1 Fe 0.000 0.000 0.000
Pt1 Pt 0.500 0.500 0.500
I1 I 0.000 0.000 0.500
```

Summary:
Fermi-level density of states   5.18 states/eV/f.u.
Crystal system   tetragonal
Energy relative to the elements, uncorrected   73 meV/atom



No. 7
Compound: Pr8Nd2Pb
Source: the Alexandria database
Functional: PBE
Structure: optimized geometry

The structure in CIF format:
```
data_Pr8Nd2Pb
_space_group_name_H-M_alt 'I m m m'
_space_group_IT_number 71
_space_group_name_Hall '-I 2 2'
_cell_length_a 5.704
_cell_length_b 7.822
_cell_length_c 17.850
_cell_angle_alpha 90.00
_cell_angle_beta 90.00
_cell_angle_gamma 90.00
loop_
_atom_site_label
_atom_site_type_symbol
_atom_site_fract_x
_atom_site_fract_y
_atom_site_fract_z
Pr1 Pr 0.000 0.000 0.176
Pr2 Pr 0.000 0.225 0.362
Pr3 Pr 0.000 0.260 0.000
Nd1 Nd 0.000 0.500 0.192
Pb1 Pb 0.000 0.500 0.500
```

Summary:
Fermi-level density of states   14.17 states/eV/f.u.
Crystal system   orthorhombic
Distance to the lowest polymorph of the same formula   0.064 eV per atom
ΔE_f   -0.02 eV per atom



No. 8
Compound: BaBiTe2I
Source: the Alexandria database
Functional: PBE
Structure: optimized geometry

The structure in CIF format:
```
data_BaBiTe2I
_space_group_name_H-M_alt 'P 4/m m m'
_space_group_IT_number 123
_space_group_name_Hall '-P 4 2'
_cell_length_a 6.042
_cell_length_b 6.042
_cell_length_c 6.003
_cell_angle_alpha 90.00
_cell_angle_beta 90.00
_cell_angle_gamma 90.00
loop_
_atom_site_label
_atom_site_type_symbol
_atom_site_fract_x
_atom_site_fract_y
_atom_site_fract_z
Ba1 Ba 0.000 0.000 0.000
Bi1 Bi 0.500 0.500 0.500
Te1 Te 0.000 0.500 0.500
I1 I 0.500 0.500 0.000
```

Summary:
Fermi-level density of states   1.26 states/eV/f.u.
Crystal system   tetragonal
Distance to the lowest polymorph of the same formula   0.000 eV per atom
Energy relative to the elements, uncorrected   -631 meV/atom



No. 9
Compound: CsSr2MnCl8
Source: the Alexandria database
Functional: PBE
Structure: optimized geometry

The structure in CIF format:
```
data_CsSr2MnCl8
_space_group_name_H-M_alt 'P -1'
_space_group_IT_number 2
_cell_length_a 6.655
_cell_length_b 6.705
_cell_length_c 9.039
_cell_angle_alpha 89.92
_cell_angle_beta 89.87
_cell_angle_gamma 87.26
loop_
_space_group_symop_operation_xyz
'x,y,z'
'-x,-y,-z'
loop_
_atom_site_label
_atom_site_type_symbol
_atom_site_fract_x
_atom_site_fract_y
_atom_site_fract_z
Cs1 Cs 0.000 0.000 0.000
Sr1 Sr 0.500 0.500 0.263
Mn1 Mn 0.000 0.000 0.500
Cl1 Cl 0.191 0.838 0.678
Cl2 Cl 0.192 0.840 0.322
Cl3 Cl 0.274 0.398 0.000
Cl4 Cl 0.280 0.306 0.501
```

Summary:
Crystal system   triclinic
Energy relative to the elements, uncorrected   -1826 meV/atom



No. 10
Compound: Li7AgBi4
Source: the Alexandria database
Functional: PBE
Structure: optimized geometry

The structure in CIF format:
```
data_Li7AgBi4
_space_group_name_H-M_alt 'C 1 2/m 1'
_space_group_IT_number 12
_cell_length_a 11.839
_cell_length_b 5.071
_cell_length_c 10.399
_cell_angle_alpha 90.00
_cell_angle_beta 120.79
_cell_angle_gamma 90.00
loop_
_space_group_symop_operation_xyz
'x,y,z'
'-x,-y,-z'
'-x,y,-z'
'x,-y,z'
'x+1/2,y+1/2,z'
'-x+1/2,-y+1/2,-z'
'-x+1/2,y+1/2,-z'
'x+1/2,-y+1/2,z'
loop_
_atom_site_label
_atom_site_type_symbol
_atom_site_fract_x
_atom_site_fract_y
_atom_site_fract_z
Li1 Li 0.000 0.000 0.000
Li2 Li 0.082 0.500 0.327
Li3 Li 0.140 0.000 0.529
Li4 Li 0.203 0.500 0.925
Ag1 Ag 0.000 0.500 0.000
Bi1 Bi 0.079 0.000 0.770
Bi2 Bi 0.228 0.000 0.305
```

Summary:
Fermi-level density of states   3.26 states/eV/f.u.
Crystal system   monoclinic
ΔE_f   -0.28 eV per atom



No. 11
Compound: CoSBr2
Source: the Alexandria database
Functional: PBE
Structure: optimized geometry

The structure in CIF format:
```
data_CoSBr2
_space_group_name_H-M_alt 'I -4 2 d'
_space_group_IT_number 122
_space_group_name_Hall 'I -4 2bw'
_cell_length_a 6.972
_cell_length_b 6.972
_cell_length_c 8.974
_cell_angle_alpha 90.00
_cell_angle_beta 90.00
_cell_angle_gamma 90.00
loop_
_atom_site_label
_atom_site_type_symbol
_atom_site_fract_x
_atom_site_fract_y
_atom_site_fract_z
Co1 Co 0.000 0.000 0.000
S1 S 0.000 0.000 0.500
Br1 Br 0.172 0.250 0.125
```

Summary:
Fermi-level density of states   1.62 states/eV/f.u.
Crystal system   tetragonal
Energy relative to the elements, uncorrected   494 meV/atom



No. 12
Compound: LiTbYSi
Source: the Alexandria database
Functional: PBE
Structure: optimized geometry

The structure in CIF format:
```
data_LiTbYSi
_space_group_name_H-M_alt 'F -4 3 m'
_space_group_IT_number 216
_space_group_name_Hall 'F -4 2 3'
_cell_length_a 7.046
_cell_length_b 7.046
_cell_length_c 7.046
_cell_angle_alpha 90.00
_cell_angle_beta 90.00
_cell_angle_gamma 90.00
loop_
_atom_site_label
_atom_site_type_symbol
_atom_site_fract_x
_atom_site_fract_y
_atom_site_fract_z
Li1 Li 0.000 0.000 0.000
Tb1 Tb 0.250 0.250 0.250
Y1 Y 0.250 0.250 0.750
Si1 Si 0.000 0.000 0.500
```

Summary:
Fermi-level density of states   2.10 states/eV/f.u.
Crystal system   cubic
Energy relative to the elements, uncorrected   -378 meV/atom



Calculated final energy, -1.5533, -2.2926, -3.1206, -5.2878, -6.3830, -5.7234, -4.6981, -3.3581, -4.1731, -2.9316, -3.1511, -4.9854 eV per atom (same order as the records).
Calculated total magnetic moment, 0.00, 0.00, 0.00, 0.00, 0.00, 0.00, 0.00, 0.00, 3.97, 0.00, 0.93, 0.00 μB/f.u. (same order as the records).